{"formula": "Hf2TiTe6", "functional": "PBE", "state": "relaxed", "formation_energy_uncorrected_ev_per_atom": -0.612, "e_above_lowest_polymorph_mev_per_atom": 161, "crystal_system": "monoclinic", "lattice": [[6.878, 0.000, 0.000], [0.000, 7.359, 0.000], [-6.495, 0.000, 9.645]], "species": ["Hf", "Hf", "Hf", "Hf", "Ti", "Ti", "Te", "Te", "Te", "Te", "Te", "Te", "Te", "Te", "Te", "Te", "Te", "Te"], "frac_coords": [[0.211, 0.143, 0.252], [0.211, 0.357, 0.752], [0.789, 0.643, 0.248], [0.789, 0.857, 0.748], [0.000, 0.000, 0.500], [0.000, 0.500, 0.000], [0.087, 0.165, 0.928], [0.087, 0.335, 0.428], [0.269, 0.675, 0.925], [0.269, 0.825, 0.425], [0.416, 0.022, 0.758], [0.416, 0.478, 0.258], [0.584, 0.522, 0.742], [0.584, 0.978, 0.242], [0.731, 0.175, 0.575], [0.731, 0.325, 0.075], [0.913, 0.665, 0.572], [0.913, 0.835, 0.072]]}